This record from the Alexandria database describes a relaxed LaSm12Th5 crystal. The functional is GGA-PBE.

Structure (POSCAR):
```
LaSm12Th5
1.0
10.818 0.001 -0.004
5.409 9.416 0.728
0.001 1.683 6.052
La Sm Th
1 12 5
Direct
0.000 0.000 0.000
0.834 0.000 0.500
0.166 0.000 0.500
0.660 0.000 0.000
0.340 0.000 0.000
0.334 0.662 0.001
0.004 0.662 0.001
0.996 0.338 0.999
0.667 0.338 0.999
0.497 0.333 0.500
0.830 0.667 0.500
0.170 0.333 0.500
0.503 0.667 0.500
0.500 0.000 0.500
0.169 0.662 0.510
0.831 0.338 0.490
0.666 0.668 0.000
0.334 0.332 0.000
```

Calculated values
Space-group type ... C2/m (12)
Formation enthalpy at 0 K ... 0.060 eV/atom
M_tot ... 0.0 μB/cell
Calculated total energy ... -5.42 eV per atom


This record from the Alexandria database describes a relaxed La2Sm4Th crystal. The functional is GGA-PBE.

Structure (POSCAR):
```
La2Sm4Th
1.0
6.739 0.000 0.000
3.369 8.468 -1.246
3.369 1.578 8.413
La Sm Th
4 8 2
Direct
0.273 0.977 0.477
0.500 0.000 0.000
0.500 0.500 0.500
0.727 0.023 0.523
0.146 0.362 0.346
0.146 0.846 0.862
0.239 0.239 0.739
0.783 0.239 0.739
0.217 0.761 0.261
0.854 0.154 0.138
0.761 0.761 0.261
0.854 0.638 0.654
0.000 0.500 0.000
0.500 0.500 0.000
```

Calculated values
Space-group type ... Imma (74)
Formation enthalpy at 0 K ... 0.256 eV/atom
M_tot ... 0.0 μB/cell
Calculated total energy ... -4.91 eV per atom


This record from the Alexandria database describes a relaxed La3Sm2Th crystal. The functional is GGA-PBE.

Structure (POSCAR):
```
La3Sm2Th
1.0
-0.656 5.003 1.201
-8.949 -3.703 -0.649
4.091 -4.027 7.827
La Sm Th
6 4 2
Direct
0.007 0.176 0.339
0.507 0.339 0.176
0.000 0.500 0.000
0.993 0.824 0.661
0.500 0.000 0.500
0.493 0.661 0.824
0.250 0.916 0.084
0.250 0.256 0.744
0.750 0.084 0.916
0.750 0.744 0.256
0.250 0.579 0.421
0.750 0.421 0.579
```

Calculated values
Space-group type ... Imma (74)
Formation enthalpy at 0 K ... 0.037 eV/atom
M_tot ... 0.0 μB/cell
Calculated total energy ... -5.24 eV per atom